DFT (PBE) results for an optimized crystal structure of La5Tb3Nd3.

Summary:
- energy (eV/atom) = -4.69
- calculated volume (Å³ per cell) = 396
- ΔH_f (0 K) (meV/atom) = 110
- symmetry = P1, No. 1
- total magnetic moment (μB per cell) = 0.0

Unit cell a=3.651 b=12.467 c=11.936 alpha=129.43 beta=72.22 gamma=107.00
Element x y z (fractional)
Nd  0.927  0.312  0.387
La  0.677  0.984  0.307
La  0.687  0.417  0.728
Nd  0.958  0.122  0.664
La  0.349  0.755  0.405
Tb  0.495  0.079  0.085
La  0.275  0.351  0.077
Tb  0.178  0.955  0.777
La  0.542  0.621  0.578
Tb  0.854  0.772  0.918
Nd  0.058  0.632  0.074

---

DFT (PBE) results for an optimized crystal structure of LaTb3Nd3.

Summary:
- energy (eV/atom) = -4.70
- calculated volume (Å³ per cell) = 483
- ΔH_f (0 K) (meV/atom) = 29
- symmetry = P6_3/m, No. 176
- total magnetic moment (μB per cell) = 0.0

Unit cell a=5.854 b=9.762 c=9.762 alpha=120.00 beta=90.00 gamma=90.00
Element x y z (fractional)
La  0.250  0.667  0.333
Nd  0.750  0.475  0.379
Tb  0.250  0.954  0.767
Nd  0.250  0.095  0.475
Nd  0.250  0.379  0.905
Tb  0.250  0.233  0.187
Tb  0.250  0.813  0.046
Nd  0.750  0.905  0.525
Tb  0.750  0.187  0.954
Nd  0.750  0.621  0.095
Nd  0.250  0.525  0.621
La  0.750  0.333  0.667
Tb  0.750  0.767  0.813
Tb  0.750  0.046  0.233

---

DFT (PBE) results for an optimized crystal structure of LaTb6Nd5.

Summary:
- energy (eV/atom) = -4.70
- calculated volume (Å³ per cell) = 404
- ΔH_f (0 K) (meV/atom) = 11
- symmetry = C2/m, No. 12
- total magnetic moment (μB per cell) = 0.0

Unit cell a=11.931 b=6.303 c=6.304 alpha=60.01 beta=84.95 gamma=79.86
Element x y z (fractional)
Nd  0.500  0.167  0.666
Nd  0.500  0.500  0.000
La  0.000  0.000  0.000
Tb  0.749  0.750  0.000
Nd  0.500  0.833  0.334
Tb  0.749  0.084  0.334
Tb  0.251  0.916  0.666
Nd  0.000  0.667  0.667
Tb  0.749  0.418  0.666
Tb  0.251  0.250  0.000
Nd  0.000  0.333  0.333
Tb  0.251  0.582  0.334

---

DFT (PBE) results for an optimized crystal structure of La5TbNd4.

Summary:
- energy (eV/atom) = -4.53
- calculated volume (Å³ per cell) = 755
- ΔH_f (0 K) (meV/atom) = 306
- symmetry = Pmmn, No. 59
- total magnetic moment (μB per cell) = 0.0

Unit cell a=11.771 b=6.955 c=9.218 alpha=90.00 beta=90.00 gamma=90.00
Element x y z (fractional)
Nd  0.006  0.500  0.207
Nd  0.994  0.000  0.293
Nd  0.458  0.254  0.500
Nd  0.542  0.246  0.000
La  0.281  0.254  0.818
Nd  0.006  0.500  0.793
La  0.719  0.246  0.682
Tb  0.812  0.000  0.000
La  0.788  0.500  0.000
La  0.719  0.246  0.318
La  0.719  0.754  0.318
La  0.212  0.000  0.500
La  0.719  0.754  0.682
Tb  0.188  0.500  0.500
La  0.281  0.746  0.182
Nd  0.458  0.746  0.500
La  0.281  0.254  0.182
La  0.281  0.746  0.818
Nd  0.542  0.754  0.000
Nd  0.994  0.000  0.707

---

DFT (PBE) results for an optimized crystal structure of LaTbNd2.

Summary:
- energy (eV/atom) = -4.75
- calculated volume (Å³ per cell) = 140
- ΔH_f (0 K) (meV/atom) = 18
- symmetry = Cm, No. 8
- total magnetic moment (μB per cell) = 0.0

Unit cell a=3.670 b=3.670 c=12.177 alpha=81.31 beta=81.31 gamma=59.96
Element x y z (fractional)
La  0.499  0.499  0.500
Nd  0.253  0.253  0.243
Nd  0.082  0.082  0.757
Tb  0.666  0.666  0.000

---

DFT (PBE) results for an optimized crystal structure of La2TbNd9.

Summary:
- energy (eV/atom) = -4.77
- calculated volume (Å³ per cell) = 423
- ΔH_f (0 K) (meV/atom) = 15
- symmetry = P4/mmm, No. 123
- total magnetic moment (μB per cell) = 0.0

Unit cell a=5.205 b=5.205 c=15.631 alpha=90.00 beta=90.00 gamma=90.00
Element x y z (fractional)
Nd  0.000  0.500  0.836
Nd  0.500  0.000  0.500
Nd  0.500  0.000  0.836
Nd  0.500  0.500  0.000
Nd  0.000  0.500  0.500
Nd  0.500  0.500  0.332
La  0.000  0.000  0.332
Nd  0.500  0.500  0.668
Nd  0.000  0.500  0.164
La  0.000  0.000  0.668
Nd  0.500  0.000  0.164
Tb  0.000  0.000  0.000

---

DFT (PBE) results for an optimized crystal structure of La2Tb3Nd8.

Summary:
- energy (eV/atom) = -4.56
- calculated volume (Å³ per cell) = 468
- ΔH_f (0 K) (meV/atom) = 202
- symmetry = C2/m, No. 12
- total magnetic moment (μB per cell) = 0.0

Unit cell a=5.731 b=7.734 c=11.243 alpha=110.12 beta=90.02 gamma=90.00
Element x y z (fractional)
Nd  0.000  0.129  0.258
Nd  0.001  0.667  0.333
Nd  0.500  0.809  0.206
Nd  0.000  0.871  0.742
Nd  0.999  0.333  0.667
Tb  0.000  0.715  0.000
Nd  0.500  0.603  0.794
Tb  0.500  0.000  0.000
La  0.499  0.241  0.483
Tb  0.000  0.285  0.000
Nd  0.500  0.397  0.206
La  0.501  0.759  0.517
Nd  0.500  0.191  0.794

---

DFT (PBE) results for an optimized crystal structure of LaTb2Nd3.

Summary:
- energy (eV/atom) = -4.69
- calculated volume (Å³ per cell) = 413
- ΔH_f (0 K) (meV/atom) = 54
- symmetry = C2/c, No. 15
- total magnetic moment (μB per cell) = 0.0

Unit cell a=6.789 b=6.789 c=11.587 alpha=64.72 beta=64.72 gamma=63.22
Element x y z (fractional)
Tb  0.334  0.334  0.082
La  0.745  0.255  0.750
Nd  0.168  0.164  0.416
Tb  0.666  0.666  0.418
Nd  0.836  0.832  0.084
Nd  0.164  0.168  0.916
Nd  0.832  0.836  0.584
Tb  0.666  0.666  0.918
Nd  0.747  0.253  0.250
La  0.255  0.745  0.250
Nd  0.253  0.747  0.750
Tb  0.334  0.334  0.582